1.
Nd4Ir2N: optimized geometry, PBE.

Calculated values
Magnetic moment ... 0.00 μB/f.u.
ΔE_f (raw) ... -0.6014 eV per atom
Crystal system ... tetragonal

The structure in POSCAR format:
```
Nd4Ir2N
1.0
-3.6240 -1.9705 2.5274
2.7041 -3.9277 0.8152
2.1327 0.1010 7.7670
N Nd Ir
1 4 2
Direct
0.0000 0.0000 0.0000
0.8200 0.8200 0.3599
0.5000 0.0000 0.0000
0.1800 0.1800 0.6401
0.0000 0.5000 0.0000
0.3692 0.3692 0.2615
0.6308 0.6308 0.7385
```

2.
TbPrSnHg: optimized geometry, PBE.

Calculated values
Magnetic moment ... 0.00 μB/f.u.
Energy above the most stable polymorph in this dataset ... 4 meV/atom
Crystal system ... cubic
Formation energy ... -584 meV per atom

The structure in POSCAR format:
```
TbPrSnHg
1.0
-1.2590 0.4591 -5.2299
2.8584 -2.6851 -3.7105
-2.2167 -4.1684 -2.6189
Sn Tb Hg Pr
1 1 1 1
Direct
0.2500 0.2500 0.2500
0.5000 0.5000 0.5000
0.7500 0.7500 0.7500
0.0000 0.0000 0.0000
```

3.
Ca4Cd3In: optimized geometry, PBE.

Calculated values
Magnetic moment ... 0.00 μB/f.u.
Crystal system ... monoclinic
Formation energy ... -394 meV per atom

The structure in POSCAR format:
```
Ca4Cd3In
1.0
-2.0254 -4.7827 1.7264
4.9908 -2.2255 -0.3105
-0.1127 5.5190 6.4812
Cd Ca In
3 4 1
Direct
0.7497 0.2495 0.4995
0.2503 0.7505 0.5005
0.0000 0.5000 0.0000
0.6248 0.6248 0.2496
0.1248 0.1248 0.2496
0.8752 0.8752 0.7504
0.3752 0.3752 0.7504
0.5000 0.0000 0.0000
```

4.
Ho2GaOs: optimized geometry, PBE.

Calculated values
Magnetic moment ... 0.00 μB/f.u.
Crystal system ... trigonal
Formation energy ... 218 meV per atom

The structure in POSCAR format:
```
Ho2GaOs
1.0
-2.4888 -0.6163 2.2058
-0.5342 -3.1498 1.1103
5.4019 0.3664 8.7904
Os Ho Ga
1 2 1
Direct
0.5000 0.5000 0.5000
0.1001 0.1001 0.6998
0.8999 0.8999 0.3002
0.0000 0.0000 0.0000
```

5.
Th3Mg2Co2Ge4: optimized geometry, PBE.

Calculated values
Magnetic moment ... 1.71 μB/f.u.
Crystal system ... trigonal
Formation energy ... -540 meV per atom

The structure in POSCAR format:
```
Th3Mg2Co2Ge4
1.0
-2.4052 -3.0514 -1.8770
3.0411 2.0516 -2.2721
9.9359 -10.2944 4.0034
Th Mg Ge Co
3 2 4 2
Direct
0.0000 0.0000 0.7467
0.0000 0.0000 0.2533
0.0000 0.0000 0.0000
0.6667 0.3333 0.4353
0.3333 0.6667 0.5647
0.6667 0.3333 0.1274
0.3333 0.6667 0.8726
0.6667 0.3333 0.6287
0.3333 0.6667 0.3713
0.6667 0.3333 0.8680
0.3333 0.6667 0.1320
```

6.
Ba2Li3HgBi4: optimized geometry, PBE.

Calculated values
Magnetic moment ... 0.00 μB/f.u.
Crystal system ... tetragonal
Formation energy ... -640 meV per atom

The structure in POSCAR format:
```
Ba2Li3HgBi4
1.0
-4.4090 0.6865 -2.1712
-2.2716 -1.6573 4.0887
-0.3887 11.2732 4.3535
Bi Ba Hg Li
4 2 1 3
Direct
0.0000 0.5000 0.3556
0.5000 0.0000 0.6444
0.5000 0.5000 0.0000
0.0000 0.0000 0.0000
0.0000 0.5000 0.7538
0.5000 0.0000 0.2462
0.5000 0.5000 0.5000
0.5000 0.0000 0.8745
0.0000 0.5000 0.1255
0.0000 0.0000 0.5000
```

7.
SrLi2Ag: optimized geometry, PBE.

Calculated values
Magnetic moment ... 0.00 μB/f.u.
Crystal system ... tetragonal
Formation energy ... -136 meV per atom

The structure in POSCAR format:
```
SrLi2Ag
1.0
-1.8136 3.0624 2.5496
-2.6833 -3.0096 1.7062
7.5299 -2.1875 7.9838
Li Ag Sr
4 2 2
Direct
0.5000 0.0000 0.9267
0.0000 0.0000 0.5000
0.5000 0.5000 0.5000
0.0000 0.5000 0.0733
0.5000 0.0000 0.6597
0.0000 0.5000 0.3403
0.5000 0.0000 0.2420
0.0000 0.5000 0.7580
```

8.
Rb2DyPdO4: optimized geometry, PBE.

Calculated values
Magnetic moment ... 1.07 μB/f.u.
ΔE_f (raw) ... -1.3763 eV per atom
Crystal system ... orthorhombic

The structure in POSCAR format:
```
Rb2DyPdO4
1.0
5.9138 0.0000 0.0000
2.9569 6.8869 0.0000
2.9569 0.0000 11.7295
O Pd Rb Dy
8 2 4 2
Direct
0.8906 0.7039 0.5419
0.5675 0.2961 0.5419
0.8594 0.7961 0.9581
0.1825 0.2039 0.9581
0.6136 0.2039 0.0419
0.4055 0.7039 0.4581
0.1364 0.2961 0.4581
0.3445 0.7961 0.0419
0.5000 0.0000 0.0000
0.2500 0.5000 0.5000
0.8051 0.0000 0.3899
0.5551 0.5000 0.8899
0.9449 0.5000 0.1101
0.1949 0.0000 0.6101
0.0000 0.0000 0.0000
0.7500 0.5000 0.5000
```